First-principles (GGA-PBE) data for La2CdRh after structural relaxation, as listed in the Alexandria database.

Calculated values
total DFT energy (no corrections)	-39.7	eV for the cell shown

Cell: 4.368 5.654 8.803 Å, 90.00 90.00 90.00°
Space group Immm (No. 71)
One atom of each set of equivalent atoms:
La 0.000 0.000 0.208 x4
Cd 0.000 0.500 0.000 x2
Rh 0.000 0.500 0.500 x2